# LiFe2Co2O8 (PBE with a Hubbard U, optimized geometry)
# Calculated total energy, eV/atom: -5.905
# Mass density, g cm⁻³: 4.30
# Density of states at the Fermi level, states/eV per cell: 3.0
data_LiFe2Co2O8
_chemical_formula_sum 'Li2 Fe4 Co4 O16'
_cell_length_a 10.1575
_cell_length_b 5.7226
_cell_length_c 5.9603
_cell_angle_alpha 90.00
_cell_angle_beta 125.62
_cell_angle_gamma 90.00
_symmetry_space_group_name_H-M 'C 1 2/m 1'
_symmetry_Int_Tables_number 12
loop_
_symmetry_equiv_pos_as_xyz
'x,y,z'
'-x,-y,-z'
'-x,y,-z'
'x,-y,z'
'x+1/2,y+1/2,z'
'-x+1/2,-y+1/2,-z'
'-x+1/2,y+1/2,-z'
'x+1/2,-y+1/2,z'
loop_
_atom_site_label
_atom_site_type_symbol
_atom_site_fract_x
_atom_site_fract_y
_atom_site_fract_z
Li1 Li 0.0000 0.0000 0.0000
Fe1 Fe 0.0000 0.5000 0.0000
Fe2 Fe 0.0000 0.5000 0.5000
Co1 Co 0.2500 0.2500 0.0000
O1 O 0.0203 0.2678 0.7845
O2 O 0.2448 0.5000 0.7829
O3 O 0.2471 0.5000 0.2030